CuPd3Cl | GGA-PBE | optimized geometry

Cell: 4.510 4.510 4.510 Å, 90.00 90.00 90.00°
Positions (direct):
Cu  0.000  0.000  0.000
Pd  0.000  0.500  0.500
Pd  0.500  0.000  0.500
Pd  0.500  0.500  0.000
Cl  0.500  0.500  0.500

Properties
DOS at the Fermi energy (states/eV per cell): 0.5
Final energy (eV/cell): -18.8
Space-group type: Pm-3m (221)
Total magnetic moment (Bohr magnetons per cell): 0.00